{"formula": "SrInP2Se8", "functional": "PBE", "state": "relaxed", "e_form_raw_ev_per_atom": -0.39, "mass_density_g_cm3": 4.663, "m_tot_mub_per_fu": 0.00, "total_energy_ev_per_cell": -47.77, "sg": "P-3", "lattice_angstrom": [[6.224, 0.000, 0.000], [-3.112, 5.390, 0.000], [0.000, 0.000, 9.511]], "species": ["Sr", "In", "P", "P", "Se", "Se", "Se", "Se", "Se", "Se", "Se", "Se"], "frac_coords": [[0.000, 0.000, 0.000], [0.000, 0.000, 0.500], [0.667, 0.333, 0.244], [0.333, 0.667, 0.756], [0.333, 0.667, 0.988], [0.323, 0.347, 0.305], [0.653, 0.976, 0.305], [0.667, 0.333, 0.012], [0.347, 0.024, 0.695], [0.677, 0.653, 0.695], [0.976, 0.323, 0.695], [0.024, 0.677, 0.305]]}

{"formula": "Tb6InP2Se3", "functional": "PBE", "state": "relaxed", "e_form_raw_ev_per_atom": -1.51, "mass_density_g_cm3": 7.581, "m_tot_mub_per_fu": 0.00, "total_energy_ev_per_cell": -69.90, "sg": "C2/m", "lattice_angstrom": [[-2.764, 0.467, -2.945], [0.716, -8.131, -1.961], [-5.189, -0.129, 7.656]], "species": ["Tb", "Tb", "Tb", "Tb", "Tb", "Tb", "In", "P", "P", "Se", "Se", "Se"], "frac_coords": [[0.329, 0.898, 0.659], [0.672, 0.572, 0.345], [0.671, 0.102, 0.341], [0.005, 0.264, 0.011], [0.995, 0.736, 0.989], [0.328, 0.428, 0.655], [0.500, 0.000, 0.000], [0.832, 0.663, 0.663], [0.168, 0.337, 0.337], [0.500, 0.500, 0.000], [0.834, 0.169, 0.668], [0.166, 0.831, 0.332]]}

{"formula": "Th6InP2Se3", "functional": "PBE", "state": "relaxed", "e_form_raw_ev_per_atom": -1.29, "mass_density_g_cm3": 9.218, "m_tot_mub_per_fu": 0.00, "total_energy_ev_per_cell": -84.00, "sg": "C2/m", "lattice_angstrom": [[4.259, 0.000, 0.000], [0.000, 8.469, 0.336], [-2.130, -2.407, 8.923]], "species": ["Th", "Th", "Th", "Th", "Th", "Th", "In", "P", "P", "Se", "Se", "Se"], "frac_coords": [[0.328, 0.896, 0.656], [0.670, 0.573, 0.340], [0.672, 0.104, 0.344], [0.009, 0.266, 0.019], [0.991, 0.734, 0.981], [0.330, 0.427, 0.660], [0.500, 0.000, 0.000], [0.830, 0.662, 0.660], [0.170, 0.338, 0.340], [0.500, 0.500, 0.000], [0.839, 0.166, 0.678], [0.161, 0.834, 0.322]]}

{"formula": "Ti2InPSe", "functional": "PBE", "state": "relaxed", "e_form_raw_ev_per_atom": 0.75, "mass_density_g_cm3": 3.263, "m_tot_mub_per_fu": 4.06, "total_energy_ev_per_cell": -23.66, "sg": "P4/mmm", "lattice_angstrom": [[-3.111, 2.986, -2.525], [-2.581, -3.992, -1.540], [-3.840, 0.452, 5.265]], "species": ["P", "Ti", "Ti", "Se", "In"], "frac_coords": [[0.500, 0.500, 0.500], [0.000, 0.500, 0.000], [0.500, 0.000, 0.000], [0.000, 0.000, 0.000], [0.000, 0.000, 0.500]]}

{"formula": "TlInP2Se6", "functional": "PBE", "state": "relaxed", "e_form_raw_ev_per_atom": -0.28, "mass_density_g_cm3": 4.750, "m_tot_mub_per_fu": 0.00, "total_energy_ev_per_cell": -79.35, "sg": "P-1", "lattice_angstrom": [[6.586, 0.090, 0.002], [-2.895, 7.601, 0.022], [-0.777, -3.164, 11.867]], "species": ["Tl", "Tl", "In", "In", "P", "P", "P", "P", "Se", "Se", "Se", "Se", "Se", "Se", "Se", "Se", "Se", "Se", "Se", "Se"], "frac_coords": [[0.171, 0.807, 0.537], [0.829, 0.193, 0.463], [0.709, 0.431, 0.908], [0.291, 0.569, 0.092], [0.090, 0.178, 0.792], [0.910, 0.822, 0.208], [0.199, 0.448, 0.744], [0.801, 0.552, 0.256], [0.618, 0.896, 0.191], [0.382, 0.104, 0.809], [0.673, 0.581, 0.413], [0.327, 0.419, 0.587], [0.032, 0.764, 0.041], [0.968, 0.236, 0.959], [0.543, 0.357, 0.110], [0.457, 0.643, 0.890], [0.167, 0.023, 0.336], [0.833, 0.977, 0.664], [0.096, 0.482, 0.273], [0.904, 0.518, 0.727]]}

{"formula": "Tm6InP2Se3", "functional": "PBE", "state": "relaxed", "e_form_raw_ev_per_atom": -1.45, "mass_density_g_cm3": 8.353, "m_tot_mub_per_fu": 0.00, "total_energy_ev_per_cell": -68.19, "sg": "C2/m", "lattice_angstrom": [[3.983, 0.000, 0.000], [0.000, 8.256, 0.303], [-1.992, -2.371, 8.541]], "species": ["Tm", "Tm", "Tm", "Tm", "Tm", "Tm", "In", "P", "P", "Se", "Se", "Se"], "frac_coords": [[0.330, 0.896, 0.660], [0.673, 0.571, 0.346], [0.670, 0.104, 0.340], [0.006, 0.263, 0.012], [0.994, 0.737, 0.988], [0.327, 0.429, 0.654], [0.500, 0.000, 0.000], [0.832, 0.662, 0.663], [0.168, 0.338, 0.337], [0.500, 0.500, 0.000], [0.833, 0.169, 0.667], [0.167, 0.831, 0.333]]}

{"formula": "Y6InP2Se3", "functional": "PBE", "state": "relaxed", "e_form_raw_ev_per_atom": -1.52, "mass_density_g_cm3": 5.287, "m_tot_mub_per_fu": 0.00, "total_energy_ev_per_cell": -81.00, "sg": "C2/m", "lattice_angstrom": [[4.054, 0.000, 0.000], [0.000, 8.375, 0.296], [-2.027, -2.418, 8.676]], "species": ["Y", "Y", "Y", "Y", "Y", "Y", "In", "P", "P", "Se", "Se", "Se"], "frac_coords": [[0.330, 0.898, 0.659], [0.673, 0.571, 0.346], [0.670, 0.102, 0.341], [0.005, 0.263, 0.011], [0.995, 0.737, 0.989], [0.327, 0.429, 0.654], [0.500, 0.000, 0.000], [0.832, 0.663, 0.663], [0.168, 0.337, 0.337], [0.500, 0.500, 0.000], [0.834, 0.169, 0.668], [0.166, 0.831, 0.332]]}

{"formula": "InSiP2", "functional": "PBE", "state": "relaxed", "e_form_raw_ev_per_atom": 0.57, "mass_density_g_cm3": 4.810, "relative_energy_mev_per_atom": 569, "m_tot_mub_per_fu": 0.00, "total_energy_ev_per_cell": -16.72, "sg": "Fm-3m", "lattice_angstrom": [[-1.342, -2.466, 3.697], [1.518, 1.151, 4.233], [-2.925, 1.855, 3.090]], "species": ["P", "P", "Si", "In"], "frac_coords": [[0.250, 0.250, 0.250], [0.750, 0.750, 0.750], [0.000, 0.000, 0.000], [0.500, 0.500, 0.500]]}